(1)
Cs2PbAu2 | PBE | optimized geometry Values from VASP.

**Energy relative to the lowest polymorph listed for this composition**: 103 meV/atom
**Space-group type**: P4/mbm (127)
**Crystal system**: tetragonal
**Theoretical density**: 7.93 Mg/m³
**Formation energy from the elements**: -143.1 meV/atom

Structure (Quantum ESPRESSO input):
```
&SYSTEM
  ibrav = 0, nat = 10, ntyp = 3
/
ATOMIC_SPECIES
Au 196.97 Au.upf
Pb 207.20 Pb.upf
Cs 132.91 Cs.upf
ATOMIC_POSITIONS angstrom
Au -7.151 0.735 -2.011
Au -6.501 5.065 -2.025
Au -2.330 4.443 -0.843
Au -2.981 0.112 -0.829
Pb 0.000 0.000 0.000
Pb -4.741 2.589 -1.427
Cs -6.084 -0.145 1.342
Cs -4.946 5.573 1.401
Cs -8.267 3.270 0.586
Cs -2.763 2.159 2.157
CELL_PARAMETERS angstrom
-2.187 7.534 -0.942
-7.295 -2.356 -1.912
-1.548 0.251 5.597
```

(2)
CsPb3Au3 | PBE | optimized geometry Values from VASP.

**Energy relative to the lowest polymorph listed for this composition**: 32 meV/atom
**Space-group type**: Pm-3n (223)
**Crystal system**: cubic
**Theoretical density**: 8.70 Mg/m³
**Formation energy from the elements**: -50.9 meV/atom

Structure (Quantum ESPRESSO input):
```
&SYSTEM
  ibrav = 0, nat = 14, ntyp = 3
/
ATOMIC_SPECIES
Au 196.97 Au.upf
Pb 207.20 Pb.upf
Cs 132.91 Cs.upf
ATOMIC_POSITIONS angstrom
Au -3.805 -4.687 -3.959
Au -5.275 2.657 -4.152
Au 1.073 0.027 -7.140
Au -4.112 -0.323 -1.742
Au -0.275 -2.875 -3.422
Au -0.418 1.996 -3.986
Pb -6.459 0.261 -3.216
Pb -2.928 2.073 -2.678
Pb 0.909 -0.478 -4.358
Pb -2.785 -2.797 -2.114
Pb -1.295 -4.765 -5.267
Pb -0.254 2.501 -6.768
Cs -3.203 -0.801 -6.100
Cs 0.000 0.000 0.000
CELL_PARAMETERS angstrom
-2.326 5.960 -4.820
2.981 -3.936 -6.306
-7.061 -3.625 -1.075
```

(3)
Cs3PbAu | PBE | optimized geometry Values from VASP.

**Energy relative to the lowest polymorph listed for this composition**: 0 meV/atom
**Space-group type**: Cmcm (63)
**Crystal system**: orthorhombic
**Theoretical density**: 4.61 Mg/m³
**Formation energy from the elements**: -162.0 meV/atom

Structure (Quantum ESPRESSO input):
```
&SYSTEM
  ibrav = 0, nat = 10, ntyp = 3
/
ATOMIC_SPECIES
Cs 132.91 Cs.upf
Au 196.97 Au.upf
Pb 207.20 Pb.upf
ATOMIC_POSITIONS angstrom
Cs -6.356 1.316 7.483
Cs 0.081 -4.230 2.411
Cs -4.597 -1.068 3.893
Cs 1.924 -8.460 3.022
Cs 0.165 -6.076 6.612
Cs -4.514 -2.915 8.094
Au -1.626 -7.372 3.571
Au -2.807 0.227 6.934
Pb -3.007 -4.836 4.713
Pb -1.426 -2.308 5.792
CELL_PARAMETERS angstrom
-4.725 -2.183 -0.866
4.044 -9.716 2.428
-3.818 4.724 8.931
```

(4)
CsPb2Au4 | PBE | optimized geometry Values from VASP.

**Space-group type**: I4/mcm (140)
**Crystal system**: tetragonal
**Theoretical density**: 11.30 Mg/m³
**Formation energy from the elements**: -139.6 meV/atom

Structure (Quantum ESPRESSO input):
```
&SYSTEM
  ibrav = 0, nat = 14, ntyp = 3
/
ATOMIC_SPECIES
Cs 132.91 Cs.upf
Pb 207.20 Pb.upf
Au 196.97 Au.upf
ATOMIC_POSITIONS angstrom
Cs -2.601 4.407 3.741
Cs -0.867 1.469 1.247
Pb 2.457 2.538 -1.282
Pb -1.388 5.476 -0.256
Pb 5.521 0.924 2.750
Pb 1.676 3.862 3.776
Au 0.105 6.524 -2.796
Au 4.628 3.062 4.427
Au 0.950 0.890 4.427
Au 1.386 4.353 0.652
Au 2.747 2.047 1.842
Au -0.495 3.339 -1.933
Au 3.183 5.510 -1.933
Au 4.028 -0.124 5.290
CELL_PARAMETERS angstrom
7.601 0.525 -2.494
-3.778 6.400 -3.005
0.310 -0.525 7.994
```

(5)
Cs2PbAu2 | PBE | optimized geometry Values from VASP.

**Energy relative to the lowest polymorph listed for this composition**: 0 meV/atom
**Space-group type**: C2/c (15)
**Crystal system**: monoclinic
**Theoretical density**: 7.65 Mg/m³
**Formation energy from the elements**: -246.1 meV/atom

Structure (Quantum ESPRESSO input):
```
&SYSTEM
  ibrav = 0, nat = 10, ntyp = 3
/
ATOMIC_SPECIES
Pb 207.20 Pb.upf
Cs 132.91 Cs.upf
Au 196.97 Au.upf
ATOMIC_POSITIONS angstrom
Pb -4.932 -2.450 3.233
Pb -4.532 5.211 2.435
Cs -7.505 -2.530 -0.070
Cs -6.605 1.727 1.972
Cs -2.691 2.054 -0.478
Cs -3.591 -2.203 -2.520
Au -4.262 -0.918 0.755
Au -9.630 1.788 3.888
Au -5.934 0.442 -1.304
Au -0.567 -2.264 -4.436
CELL_PARAMETERS angstrom
-3.208 6.695 1.507
-0.732 -3.237 -6.216
-6.256 -3.934 4.161
```

(6)
CsPbAu | PBE | optimized geometry Values from VASP.

**Space-group type**: P-6m2 (187)
**Crystal system**: hexagonal
**Theoretical density**: 7.17 Mg/m³
**Formation energy from the elements**: -134.3 meV/atom

Structure (Quantum ESPRESSO input):
```
&SYSTEM
  ibrav = 0, nat = 3, ntyp = 3
/
ATOMIC_SPECIES
Au 196.97 Au.upf
Pb 207.20 Pb.upf
Cs 132.91 Cs.upf
ATOMIC_POSITIONS angstrom
Au -0.615 -0.756 -0.152
Pb -0.379 -1.501 2.581
Cs -0.430 -4.845 0.197
CELL_PARAMETERS angstrom
-3.693 -4.544 -0.916
3.829 -2.886 -1.118
-1.559 0.328 4.659
```

(7)
Cs12PbAu6 | PBE | optimized geometry Values from VASP.

**Space-group type**: R-3 (148)
**Crystal system**: trigonal
**Theoretical density**: 4.59 Mg/m³
**Formation energy from the elements**: -199.7 meV/atom

Structure (Quantum ESPRESSO input):
```
&SYSTEM
  ibrav = 0, nat = 19, ntyp = 3
/
ATOMIC_SPECIES
Pb 207.20 Pb.upf
Cs 132.91 Cs.upf
Au 196.97 Au.upf
ATOMIC_POSITIONS angstrom
Pb 0.000 0.000 0.000
Cs 2.754 5.797 5.318
Cs -1.195 3.025 8.355
Cs 3.320 1.440 3.126
Cs 8.950 0.382 0.371
Cs -0.906 8.061 -3.819
Cs -0.642 4.229 2.138
Cs 2.861 3.606 -1.295
Cs -3.335 9.021 3.652
Cs 6.811 6.378 -4.332
Cs 6.521 1.342 7.842
Cs 2.296 7.962 0.897
Cs 6.257 5.174 1.885
Au 5.710 1.947 0.311
Au -0.025 5.950 -1.041
Au 4.912 6.603 -1.283
Au 5.640 3.453 5.064
Au 0.703 2.800 5.306
Au -0.095 7.456 3.711
CELL_PARAMETERS angstrom
10.466 0.076 -3.508
-4.896 9.251 -3.508
0.045 0.076 11.038
```

(8)
Cs2PbAu | PBE | optimized geometry Values from VASP.

**Energy relative to the lowest polymorph listed for this composition**: 100 meV/atom
**Space-group type**: P4/mmm (123)
**Crystal system**: tetragonal
**Theoretical density**: 6.41 Mg/m³
**Formation energy from the elements**: -87.2 meV/atom

Structure (Quantum ESPRESSO input):
```
&SYSTEM
  ibrav = 0, nat = 4, ntyp = 3
/
ATOMIC_SPECIES
Cs 132.91 Cs.upf
Au 196.97 Au.upf
Pb 207.20 Pb.upf
ATOMIC_POSITIONS angstrom
Cs -1.605 -1.488 0.571
Cs -5.864 -5.434 2.087
Au -1.289 0.419 -2.532
Pb -5.024 -3.042 -1.202
CELL_PARAMETERS angstrom
-2.848 2.541 -1.387
0.270 -1.704 -3.677
-7.470 -6.922 2.659
```

(9)
CsPbAu2 | PBE | optimized geometry Values from VASP.

**Space-group type**: R3m (160)
**Crystal system**: trigonal
**Theoretical density**: 8.76 Mg/m³
**Formation energy from the elements**: -218.3 meV/atom

Structure (Quantum ESPRESSO input):
```
&SYSTEM
  ibrav = 0, nat = 4, ntyp = 3
/
ATOMIC_SPECIES
Au 196.97 Au.upf
Pb 207.20 Pb.upf
Cs 132.91 Cs.upf
ATOMIC_POSITIONS angstrom
Au 0.403 -8.390 -0.844
Au 0.262 -2.837 0.021
Pb 2.602 -9.082 4.369
Cs 1.398 -5.949 2.115
CELL_PARAMETERS angstrom
-2.121 -4.371 0.314
2.369 -3.970 -1.526
2.697 -3.603 5.794
```

(10)
Cs2PbAu2 | PBE | optimized geometry Values from VASP.

**Energy relative to the lowest polymorph listed for this composition**: 466 meV/atom
**Space-group type**: I4/mmm (139)
**Crystal system**: tetragonal
**Theoretical density**: 7.24 Mg/m³
**Formation energy from the elements**: 220.3 meV/atom

Structure (Quantum ESPRESSO input):
```
&SYSTEM
  ibrav = 0, nat = 5, ntyp = 3
/
ATOMIC_SPECIES
Au 196.97 Au.upf
Cs 132.91 Cs.upf
Pb 207.20 Pb.upf
ATOMIC_POSITIONS angstrom
Au 0.000 0.000 8.829
Au 0.000 0.000 6.106
Cs 2.579 0.000 3.734
Cs 0.000 2.579 3.734
Pb 0.000 0.000 0.000
CELL_PARAMETERS angstrom
-2.579 2.579 7.467
2.579 -2.579 7.467
2.579 2.579 -7.467
```